Material: Al5Hg
Method: DFT, GGA-PBE
State: relaxed

```
Al5Hg
1.0
0.2100 4.3648 -2.4098
-4.2834 -1.5018 2.0735
1.2797 2.3294 4.3307
Al Hg
5 1
Direct
0.6547 0.0000 0.0000
0.3453 0.3453 0.0000
0.0000 0.6547 0.0000
0.6667 0.3333 0.5000
0.3333 0.6667 0.5000
0.0000 0.0000 0.5000
```

The calculation puts the total energy at -3.02 eV per atom. The energy above the most stable polymorph in this dataset comes out at 0.062 eV/atom.